#A
Material: AgGe2Bi2
Method: DFT, PBE
State: optimized geometry

Fermi-level density of states: 3.752 states/eV/cell
SG: P4/mbm (127)
Calculated volume: 26.5 A^3/atom
Total moment: 0.0 Bohr magnetons per cell

a = 8.2431 Å, b = 8.2431 Å, c = 3.8984 Å
α = 90.00°, β = 90.00°, γ = 90.00°
Fractional positions:
Ge1 0.1155 0.6155 0.5000
Ge2 0.6155 0.8845 0.5000
Ge3 0.8845 0.3845 0.5000
Ge4 0.3845 0.1155 0.5000
Bi1 0.3247 0.8247 0.0000
Bi2 0.8247 0.6753 0.0000
Bi3 0.6753 0.1753 0.0000
Bi4 0.1753 0.3247 0.0000
Ag1 0.0000 0.0000 0.0000
Ag2 0.5000 0.5000 0.0000


#B
Material: AgGe2Bi2
Method: DFT, PBE
State: optimized geometry

Fermi-level density of states: 4.260 states/eV/cell
SG: P4/mbm (127)
Calculated volume: 25.5 A^3/atom
Total moment: 0.0 Bohr magnetons per cell

a = 6.7189 Å, b = 6.7189 Å, c = 5.6508 Å
α = 90.00°, β = 90.00°, γ = 90.00°
Fractional positions:
Ge1 0.3660 0.8660 0.0000
Ge2 0.8660 0.6340 0.0000
Ge3 0.6340 0.1340 0.0000
Ge4 0.1340 0.3660 0.0000
Bi1 0.2556 0.7556 0.5000
Bi2 0.7556 0.7444 0.5000
Bi3 0.7444 0.2444 0.5000
Bi4 0.2444 0.2556 0.5000
Ag1 0.0000 0.0000 0.0000
Ag2 0.5000 0.5000 0.0000


Quick one: most stable of them? #B


#A
Material: Ag2Ge2Bi
Method: DFT, PBE
State: optimized geometry

Fermi-level density of states: 2.147 states/eV/cell
SG: I4/mmm (139)
Calculated volume: 21.9 A^3/atom
Total moment: 0.0 Bohr magnetons per cell

a = 4.3425 Å, b = 4.3425 Å, c = 6.5585 Å
α = 70.67°, β = 70.67°, γ = 90.00°
Fractional positions:
Ge1 0.3930 0.3930 0.2141
Ge2 0.6070 0.6070 0.7859
Bi1 0.0000 0.0000 0.0000
Ag1 0.7500 0.2500 0.5000
Ag2 0.2500 0.7500 0.5000


#B
Material: Ag2Ge2Bi
Method: DFT, PBE
State: optimized geometry

Fermi-level density of states: 3.368 states/eV/cell
SG: P4/mbm (127)
Calculated volume: 21.4 A^3/atom
Total moment: 0.0 Bohr magnetons per cell

a = 8.1084 Å, b = 8.1084 Å, c = 3.2549 Å
α = 90.00°, β = 90.00°, γ = 90.00°
Fractional positions:
Ge1 0.1633 0.6633 0.5000
Ge2 0.6633 0.8367 0.5000
Ge3 0.8367 0.3367 0.5000
Ge4 0.3367 0.1633 0.5000
Bi1 0.0000 0.0000 0.0000
Bi2 0.5000 0.5000 0.0000
Ag1 0.3701 0.8701 0.0000
Ag2 0.8701 0.6299 0.0000
Ag3 0.6299 0.1299 0.0000
Ag4 0.1299 0.3701 0.0000


#C
Material: Ag2Ge2Bi
Method: DFT, PBE
State: optimized geometry

Fermi-level density of states: 1.982 states/eV/cell
SG: I4/mmm (139)
Calculated volume: 21.8 A^3/atom
Total moment: 0.0 Bohr magnetons per cell

a = 4.0813 Å, b = 4.0813 Å, c = 7.1514 Å
α = 73.42°, β = 73.42°, γ = 90.00°
Fractional positions:
Ge1 0.7500 0.2500 0.5000
Ge2 0.2500 0.7500 0.5000
Bi1 0.0000 0.0000 0.0000
Ag1 0.3940 0.3940 0.2120
Ag2 0.6060 0.6060 0.7880


Quick one: most stable of them? #C


#A
Material: AgBiH3
Method: DFT, PBE
State: optimized geometry

Fermi-level density of states: 2.367 states/eV/cell
SG: Pm-3m (221)
Calculated volume: 14.9 A^3/atom
Total moment: 0.0 Bohr magnetons per cell

a = 4.2064 Å, b = 4.2064 Å, c = 4.2064 Å
α = 90.00°, β = 90.00°, γ = 90.00°
Fractional positions:
H1 0.0000 0.5000 0.0000
H2 0.0000 0.0000 0.5000
H3 0.5000 0.0000 0.0000
Bi1 0.0000 0.0000 0.0000
Ag1 0.5000 0.5000 0.5000


#B
Material: AgBiH3
Method: DFT, PBE
State: optimized geometry

Fermi-level density of states: 1.567 states/eV/cell
SG: Pm-3m (221)
Calculated volume: 12.1 A^3/atom
Total moment: 0.0 Bohr magnetons per cell

a = 3.9310 Å, b = 3.9310 Å, c = 3.9310 Å
α = 90.00°, β = 90.00°, γ = 90.00°
Fractional positions:
H1 0.0000 0.5000 0.0000
H2 0.0000 0.0000 0.5000
H3 0.5000 0.0000 0.0000
Bi1 0.5000 0.5000 0.5000
Ag1 0.0000 0.0000 0.0000


Quick one: most stable of them? #B


#A
Material: Ag2Bi2H
Method: DFT, PBE
State: optimized geometry

Fermi-level density of states: 2.744 states/eV/cell
SG: I4/mmm (139)
Calculated volume: 23.2 A^3/atom
Total moment: 0.0 Bohr magnetons per cell

a = 3.7566 Å, b = 3.7566 Å, c = 8.6324 Å
α = 77.43°, β = 77.43°, γ = 90.00°
Fractional positions:
H1 0.0000 0.0000 0.0000
Bi1 0.4004 0.4004 0.1991
Bi2 0.5996 0.5996 0.8009
Ag1 0.7500 0.2500 0.5000
Ag2 0.2500 0.7500 0.5000


#B
Material: Ag2Bi2H
Method: DFT, PBE
State: optimized geometry

Fermi-level density of states: 2.767 states/eV/cell
SG: P4/mbm (127)
Calculated volume: 25.2 A^3/atom
Total moment: 1.6 Bohr magnetons per cell

a = 8.8437 Å, b = 8.8437 Å, c = 3.2164 Å
α = 90.00°, β = 90.00°, γ = 90.00°
Last column: magnetic moment on the atom in μB.
Fractional positions:
H1 0.0000 0.0000 0.0000  0.30
H2 0.5000 0.5000 0.0000  0.30
Bi1 0.1468 0.6468 0.5000  0.03
Bi2 0.6468 0.8532 0.5000  0.02
Bi3 0.8532 0.3532 0.5000  0.03
Bi4 0.3532 0.1468 0.5000  0.02
Ag1 0.3497 0.8497 0.0000  0.01
Ag2 0.8497 0.6503 0.0000  0.01
Ag3 0.6503 0.1503 0.0000  0.01
Ag4 0.1503 0.3497 0.0000  0.01


Quick one: most stable of them? #A


#A
Material: AgBi3H
Method: DFT, PBE
State: optimized geometry

Fermi-level density of states: 3.241 states/eV/cell
SG: Pm-3m (221)
Calculated volume: 23.9 A^3/atom
Total moment: 0.0 Bohr magnetons per cell

a = 4.9251 Å, b = 4.9251 Å, c = 4.9251 Å
α = 90.00°, β = 90.00°, γ = 90.00°
Fractional positions:
H1 0.0000 0.0000 0.0000
Bi1 0.0000 0.5000 0.0000
Bi2 0.0000 0.0000 0.5000
Bi3 0.5000 0.0000 0.0000
Ag1 0.5000 0.5000 0.5000


#B
Material: AgBi3H
Method: DFT, PBE
State: optimized geometry

Fermi-level density of states: 5.520 states/eV/cell
SG: Pm-3m (221)
Calculated volume: 34.6 A^3/atom
Total moment: 1.0 Bohr magnetons per cell

a = 5.5732 Å, b = 5.5732 Å, c = 5.5732 Å
α = 90.00°, β = 90.00°, γ = 90.00°
Last column: magnetic moment on the atom in μB.
Fractional positions:
H1 0.5000 0.5000 0.5000  0.34
Bi1 0.0000 0.5000 0.0000  0.04
Bi2 0.0000 0.0000 0.5000  0.02
Bi3 0.5000 0.0000 0.0000  0.06
Ag1 0.0000 0.0000 0.0000  0.01


Quick one: most stable of them? #A


#A
Material: Na2AgBiH
Method: DFT, PBE
State: optimized geometry

Fermi-level density of states: 1.762 states/eV/cell
SG: P4/mmm (123)
Calculated volume: 21.1 A^3/atom
Total moment: 0.0 Bohr magnetons per cell

a = 4.8179 Å, b = 4.8179 Å, c = 4.5484 Å
α = 90.00°, β = 90.00°, γ = 90.00°
Fractional positions:
Na1 0.0000 0.5000 0.0000
Na2 0.5000 0.0000 0.0000
Bi1 0.0000 0.0000 0.5000
Ag1 0.5000 0.5000 0.5000
H1 0.0000 0.0000 0.0000


#B
Material: Na2AgBiH
Method: DFT, PBE
State: optimized geometry

Fermi-level density of states: 1.841 states/eV/cell
SG: P4/mmm (123)
Calculated volume: 21.3 A^3/atom
Total moment: 0.0 Bohr magnetons per cell

a = 5.3852 Å, b = 5.3852 Å, c = 3.6671 Å
α = 90.00°, β = 90.00°, γ = 90.00°
Fractional positions:
Na1 0.0000 0.5000 0.0000
Na2 0.5000 0.0000 0.0000
Bi1 0.5000 0.5000 0.5000
Ag1 0.0000 0.0000 0.5000
H1 0.0000 0.0000 0.0000


Quick one: most stable of them? #B


#A
Material: AgBiHPb2
Method: DFT, PBE
State: optimized geometry

Fermi-level density of states: 1.831 states/eV/cell
SG: P4/mmm (123)
Calculated volume: 23.6 A^3/atom
Total moment: 0.0 Bohr magnetons per cell

a = 5.2179 Å, b = 5.2179 Å, c = 4.3293 Å
α = 90.00°, β = 90.00°, γ = 90.00°
Fractional positions:
Pb1 0.0000 0.5000 0.0000
Pb2 0.5000 0.0000 0.0000
H1 0.0000 0.0000 0.0000
Bi1 0.5000 0.5000 0.5000
Ag1 0.0000 0.0000 0.5000


#B
Material: AgBiHPb2
Method: DFT, PBE
State: optimized geometry

Fermi-level density of states: 1.706 states/eV/cell
SG: P4/mmm (123)
Calculated volume: 25.0 A^3/atom
Total moment: 0.0 Bohr magnetons per cell

a = 5.9717 Å, b = 5.9717 Å, c = 3.4990 Å
α = 90.00°, β = 90.00°, γ = 90.00°
Fractional positions:
Pb1 0.0000 0.5000 0.0000
Pb2 0.5000 0.0000 0.0000
H1 0.0000 0.0000 0.5000
Bi1 0.5000 0.5000 0.5000
Ag1 0.0000 0.0000 0.0000


Quick one: most stable of them? #B


#A
Material: Hf3AgBi
Method: DFT, PBE
State: optimized geometry

Fermi-level density of states: 4.974 states/eV/cell
SG: Pm-3m (221)
Calculated volume: 26.8 A^3/atom
Total moment: 0.0 Bohr magnetons per cell

a = 5.1198 Å, b = 5.1198 Å, c = 5.1198 Å
α = 90.00°, β = 90.00°, γ = 90.00°
Fractional positions:
Hf1 0.0000 0.5000 0.0000
Hf2 0.0000 0.0000 0.5000
Hf3 0.5000 0.0000 0.0000
Bi1 0.5000 0.5000 0.5000
Ag1 0.0000 0.0000 0.0000


#B
Material: Hf3AgBi
Method: DFT, PBE
State: optimized geometry

Fermi-level density of states: 3.586 states/eV/cell
SG: Pm-3m (221)
Calculated volume: 30.4 A^3/atom
Total moment: 0.0 Bohr magnetons per cell

a = 5.3341 Å, b = 5.3341 Å, c = 5.3341 Å
α = 90.00°, β = 90.00°, γ = 90.00°
Fractional positions:
Hf1 0.0000 0.5000 0.0000
Hf2 0.0000 0.0000 0.5000
Hf3 0.5000 0.0000 0.0000
Bi1 0.0000 0.0000 0.0000
Ag1 0.5000 0.5000 0.5000


Quick one: most stable of them? #A


#A
Material: HfAgBi3
Method: DFT, PBE
State: optimized geometry

Fermi-level density of states: 8.868 states/eV/cell
SG: Pm-3m (221)
Calculated volume: 31.8 A^3/atom
Total moment: 0.0 Bohr magnetons per cell

a = 5.4186 Å, b = 5.4186 Å, c = 5.4186 Å
α = 90.00°, β = 90.00°, γ = 90.00°
Fractional positions:
Hf1 0.5000 0.5000 0.5000
Bi1 0.0000 0.5000 0.0000
Bi2 0.0000 0.0000 0.5000
Bi3 0.5000 0.0000 0.0000
Ag1 0.0000 0.0000 0.0000


#B
Material: HfAgBi3
Method: DFT, PBE
State: optimized geometry

Fermi-level density of states: 4.351 states/eV/cell
SG: Pm-3m (221)
Calculated volume: 35.5 A^3/atom
Total moment: 0.0 Bohr magnetons per cell

a = 5.6203 Å, b = 5.6203 Å, c = 5.6203 Å
α = 90.00°, β = 90.00°, γ = 90.00°
Fractional positions:
Hf1 0.0000 0.0000 0.0000
Bi1 0.0000 0.5000 0.0000
Bi2 0.0000 0.0000 0.5000
Bi3 0.5000 0.0000 0.0000
Ag1 0.5000 0.5000 0.5000


Quick one: most stable of them? #B


#A
Material: AgHg2Bi2
Method: DFT, PBE
State: optimized geometry

Fermi-level density of states: 1.472 states/eV/cell
SG: I4/mmm (139)
Calculated volume: 29.6 A^3/atom
Total moment: 0.0 Bohr magnetons per cell

a = 3.9941 Å, b = 3.9941 Å, c = 9.7023 Å
α = 78.12°, β = 78.12°, γ = 90.00°
Fractional positions:
Bi1 0.4173 0.4173 0.1653
Bi2 0.5827 0.5827 0.8347
Ag1 0.0000 0.0000 0.0000
Hg1 0.7500 0.2500 0.5000
Hg2 0.2500 0.7500 0.5000


#B
Material: AgHg2Bi2
Method: DFT, PBE
State: optimized geometry

Fermi-level density of states: 4.753 states/eV/cell
SG: P4/mbm (127)
Calculated volume: 27.0 A^3/atom
Total moment: 0.0 Bohr magnetons per cell

a = 7.5033 Å, b = 7.5033 Å, c = 4.7942 Å
α = 90.00°, β = 90.00°, γ = 90.00°
Fractional positions:
Bi1 0.1559 0.6559 0.5000
Bi2 0.6559 0.8441 0.5000
Bi3 0.8441 0.3441 0.5000
Bi4 0.3441 0.1559 0.5000
Ag1 0.0000 0.0000 0.0000
Ag2 0.5000 0.5000 0.0000
Hg1 0.3518 0.8518 0.0000
Hg2 0.8518 0.6482 0.0000
Hg3 0.6482 0.1482 0.0000
Hg4 0.1482 0.3518 0.0000


#C
Material: AgHg2Bi2
Method: DFT, PBE
State: optimized geometry

Fermi-level density of states: 6.507 states/eV/cell
SG: P4/mbm (127)
Calculated volume: 28.7 A^3/atom
Total moment: 0.0 Bohr magnetons per cell

a = 7.7129 Å, b = 7.7129 Å, c = 4.8326 Å
α = 90.00°, β = 90.00°, γ = 90.00°
Fractional positions:
Bi1 0.3501 0.8501 0.0000
Bi2 0.8501 0.6499 0.0000
Bi3 0.6499 0.1499 0.0000
Bi4 0.1499 0.3501 0.0000
Ag1 0.0000 0.0000 0.0000
Ag2 0.5000 0.5000 0.0000
Hg1 0.1605 0.6605 0.5000
Hg2 0.6605 0.8395 0.5000
Hg3 0.8395 0.3395 0.5000
Hg4 0.3395 0.1605 0.5000


Quick one: most stable of them? #C


#A
Material: Ag2Hg2Bi
Method: DFT, PBE
State: optimized geometry

Fermi-level density of states: 2.711 states/eV/cell
SG: I4/mmm (139)
Calculated volume: 24.1 A^3/atom
Total moment: 0.0 Bohr magnetons per cell

a = 4.0942 Å, b = 4.0942 Å, c = 7.7550 Å
α = 74.69°, β = 74.69°, γ = 90.00°
Fractional positions:
Bi1 0.0000 0.0000 0.0000
Ag1 0.4033 0.4033 0.1933
Ag2 0.5967 0.5967 0.8067
Hg1 0.7500 0.2500 0.5000
Hg2 0.2500 0.7500 0.5000


#B
Material: Ag2Hg2Bi
Method: DFT, PBE
State: optimized geometry

Fermi-level density of states: 4.487 states/eV/cell
SG: P4/mbm (127)
Calculated volume: 23.1 A^3/atom
Total moment: 0.0 Bohr magnetons per cell

a = 8.1804 Å, b = 8.1804 Å, c = 3.4560 Å
α = 90.00°, β = 90.00°, γ = 90.00°
Fractional positions:
Bi1 0.0000 0.0000 0.0000
Bi2 0.5000 0.5000 0.0000
Ag1 0.3722 0.8722 0.0000
Ag2 0.8722 0.6278 0.0000
Ag3 0.6278 0.1278 0.0000
Ag4 0.1278 0.3722 0.0000
Hg1 0.1684 0.6684 0.5000
Hg2 0.6684 0.8316 0.5000
Hg3 0.8316 0.3316 0.5000
Hg4 0.3316 0.1684 0.5000


#C
Material: Ag2Hg2Bi
Method: DFT, PBE
State: optimized geometry

Fermi-level density of states: 5.824 states/eV/cell
SG: P4/mbm (127)
Calculated volume: 23.0 A^3/atom
Total moment: 0.0 Bohr magnetons per cell

a = 8.4794 Å, b = 8.4794 Å, c = 3.2052 Å
α = 90.00°, β = 90.00°, γ = 90.00°
Fractional positions:
Bi1 0.0000 0.0000 0.0000
Bi2 0.5000 0.5000 0.0000
Ag1 0.1679 0.6679 0.5000
Ag2 0.6679 0.8321 0.5000
Ag3 0.8321 0.3321 0.5000
Ag4 0.3321 0.1679 0.5000
Hg1 0.3707 0.8707 0.0000
Hg2 0.8707 0.6293 0.0000
Hg3 0.6293 0.1293 0.0000
Hg4 0.1293 0.3707 0.0000


Quick one: most stable of them? #B